Computed, not measured: a relaxed Pa3AlGa2Ni9 crystal at the PBE level of DFT. Values from VASP.

Output
The value obtained for the calculated total energy is -91.33 eV/cell. The density of states at the Fermi level is 0.9688 states/eV/atom.

Geometry as Quantum ESPRESSO input:
```
&SYSTEM
  ibrav = 0, nat = 15, ntyp = 4
/
ATOMIC_SPECIES
Pa 231.04 Pa.upf
Al 26.98 Al.upf
Ga 69.72 Ga.upf
Ni 58.69 Ni.upf
CELL_PARAMETERS angstrom
6.191 0.000 0.000
-3.096 5.362 0.000
0.000 0.000 7.816
ATOMIC_POSITIONS angstrom
Pa 0.000 0.000 0.000
Pa 0.000 3.574 5.598
Pa 3.096 1.787 2.218
Al 0.000 0.000 3.908
Ga 0.000 3.574 1.708
Ga 3.096 1.787 6.109
Ni -1.548 2.681 0.000
Ni 0.000 1.401 2.039
Ni -1.882 4.661 2.039
Ni 1.213 0.701 5.777
Ni 3.096 0.000 0.000
Ni 1.548 2.681 0.000
Ni 1.882 4.661 2.039
Ni 4.978 0.701 5.777
Ni 3.096 3.961 5.777
```

***

Computed, not measured: a relaxed Pa2Al2Ga4Ni crystal at the PBE level of DFT. Values from VASP.

Output
The value obtained for the calculated total energy is -47.68 eV/cell. The density of states at the Fermi level is 1.0524 states/eV/atom.

Geometry as Quantum ESPRESSO input:
```
&SYSTEM
  ibrav = 0, nat = 9, ntyp = 4
/
ATOMIC_SPECIES
Pa 231.04 Pa.upf
Al 26.98 Al.upf
Ga 69.72 Ga.upf
Ni 58.69 Ni.upf
CELL_PARAMETERS angstrom
-3.090 3.090 4.322
3.090 -3.090 4.322
3.090 3.090 -4.322
ATOMIC_POSITIONS angstrom
Pa 3.090 0.000 2.161
Pa 0.000 3.090 2.161
Al 0.000 0.000 1.930
Al 0.000 0.000 6.714
Ga 1.383 1.383 0.000
Ga 1.708 -1.708 4.322
Ga -1.708 1.708 4.322
Ga 1.708 1.708 4.322
Ni 0.000 0.000 4.322
```

***

Computed, not measured: a relaxed PaAlGaNi3 crystal at the PBE level of DFT. Values from VASP.

Output
The value obtained for the calculated total energy is -70.72 eV/cell. The density of states at the Fermi level is 0.5864 states/eV/atom.

Geometry as Quantum ESPRESSO input:
```
&SYSTEM
  ibrav = 0, nat = 12, ntyp = 4
/
ATOMIC_SPECIES
Pa 231.04 Pa.upf
Al 26.98 Al.upf
Ga 69.72 Ga.upf
Ni 58.69 Ni.upf
CELL_PARAMETERS angstrom
2.588 -5.701 0.000
2.588 5.701 0.000
0.000 0.000 6.581
ATOMIC_POSITIONS angstrom
Pa 2.588 3.870 4.935
Pa 2.588 -3.870 1.645
Al 2.588 4.111 1.645
Al 2.588 -4.111 4.935
Ga 2.588 0.989 4.935
Ga 2.588 -0.989 1.645
Ni 1.227 0.000 0.000
Ni 1.227 0.000 3.290
Ni 2.588 1.645 1.645
Ni 2.588 -1.645 4.935
Ni 3.949 0.000 0.000
Ni 3.949 0.000 3.290
```